[1]
{"formula": "CuSbAu", "functional": "SCAN", "state": "single point on PBEsol structure", "lattice_angstrom": [[4.317, 0.000, 0.000], [2.159, 3.739, 0.000], [2.159, 1.246, 3.525]], "species": ["Sb", "Au", "Cu"], "frac_coords": [[0.000, 0.000, 0.000], [0.500, 0.500, 0.500], [0.750, 0.750, 0.750]], "dos_at_fermi_per_ev_cell": 0.9, "formation_energy_uncorrected_ev_per_atom": -0.03, "polymorph_energy_kj_per_mol_atoms": 0.00, "e_tot_ev_per_atom": -40.5725}

[2]
{"formula": "LiCuPO4", "functional": "SCAN", "state": "single point on PBEsol structure", "lattice_angstrom": [[4.186, 0.000, 0.000], [0.000, 4.530, 0.000], [0.000, 0.000, 14.862]], "species": ["Li", "Li", "Li", "Li", "Cu", "Cu", "Cu", "Cu", "P", "P", "P", "P", "O", "O", "O", "O", "O", "O", "O", "O", "O", "O", "O", "O", "O", "O", "O", "O"], "frac_coords": [[0.000, 0.250, 0.249], [0.000, 0.750, 0.751], [0.500, 0.750, 0.251], [0.500, 0.250, 0.749], [0.000, 0.750, 0.073], [0.000, 0.250, 0.927], [0.500, 0.250, 0.427], [0.500, 0.750, 0.573], [0.000, 0.750, 0.387], [0.000, 0.250, 0.613], [0.500, 0.750, 0.887], [0.500, 0.250, 0.113], [0.804, 0.532, 0.328], [0.804, 0.032, 0.672], [0.735, 0.426, 0.054], [0.735, 0.926, 0.946], [0.765, 0.926, 0.446], [0.765, 0.426, 0.554], [0.696, 0.032, 0.172], [0.696, 0.532, 0.828], [0.304, 0.468, 0.172], [0.304, 0.968, 0.828], [0.235, 0.074, 0.554], [0.235, 0.574, 0.446], [0.265, 0.074, 0.054], [0.265, 0.574, 0.946], [0.196, 0.968, 0.328], [0.196, 0.468, 0.672]], "formation_energy_uncorrected_ev_per_atom": -2.03, "polymorph_energy_kj_per_mol_atoms": 3.44, "e_tot_ev_per_atom": -9.5883}

[3]
{"formula": "MgSiOs2", "functional": "SCAN", "state": "single point on PBEsol structure", "lattice_angstrom": [[2.795, -0.008, 0.000], [-1.245, 2.502, 0.000], [0.000, 0.000, 8.285]], "species": ["Mg", "Os", "Os", "Si"], "frac_coords": [[0.500, 0.500, 0.000], [0.000, 0.000, 0.277], [0.000, 0.000, 0.723], [0.500, 0.500, 0.500]], "dos_at_fermi_per_ev_cell": 2.0, "formation_energy_uncorrected_ev_per_atom": 0.07, "e_tot_ev_per_atom": -39.6160}

[4]
{"formula": "MnPt2Au", "functional": "SCAN", "state": "single point on PBEsol structure", "lattice_angstrom": [[2.827, 0.000, 0.000], [0.000, 3.736, 0.000], [0.000, 0.000, 5.699]], "species": ["Mn", "Au", "Pt", "Pt"], "frac_coords": [[0.500, 0.500, 0.500], [0.500, 0.500, 0.000], [0.000, 0.000, 0.737], [0.000, 0.000, 0.263]], "dos_at_fermi_per_ev_cell": 2.3, "delta_e_f_ev_per_atom": -0.405, "e_tot_ev_per_atom": -57.3548}